Entry w
Material: HfMg14V
Method: DFT, PBE-GGA
State: relaxed

Calculated values
DOS at the Fermi energy   8.91 states/eV/cell
M_tot   0.23 μB/atom
Symmetry   Amm2, No. 38

```
HfMg14V
1.0
-6.130 0.658 1.544
3.133 -5.403 1.178
2.703 3.574 9.207
Mg Hf V
14 1 1
Direct
0.831 0.666 0.000
0.165 0.334 0.257
0.832 0.168 0.000
0.673 0.327 0.738
0.170 0.830 0.251
0.334 0.169 0.000
0.324 0.166 0.500
0.666 0.835 0.743
0.834 0.676 0.500
0.673 0.327 0.262
0.165 0.334 0.743
0.170 0.830 0.749
0.666 0.835 0.257
0.333 0.667 0.000
0.330 0.670 0.500
0.833 0.167 0.500
```

***

Entry x
Material: HfMg14V
Method: DFT, PBE-GGA
State: relaxed

Calculated values
DOS at the Fermi energy   9.74 states/eV/cell
M_tot   0.25 μB/atom
Symmetry   P-6m2, No. 187

```
HfMg14V
1.0
3.181 -5.510 0.000
3.181 5.510 0.000
0.000 0.000 10.110
Mg V Hf
14 1 1
Direct
0.667 0.333 0.742
0.008 0.504 0.500
0.496 0.992 0.500
0.676 0.838 0.248
0.500 0.001 0.000
0.162 0.324 0.248
0.162 0.838 0.752
0.500 0.500 0.000
0.667 0.333 0.258
0.162 0.324 0.752
0.676 0.838 0.752
0.496 0.504 0.500
0.999 0.500 0.000
0.162 0.838 0.248
0.000 0.000 0.000
0.000 0.000 0.500
```

***

Which structure is most stable, and how do the rest compare? From most to least stable: entry w, entry x.

***

Entry w
Material: HfMg6V
Method: DFT, PBE-GGA
State: relaxed

Calculated values
DOS at the Fermi energy   5.64 states/eV/cell
M_tot   0.33 μB/atom
Symmetry   Amm2, No. 38

```
HfMg6V
1.0
3.114 -5.544 0.000
3.114 5.544 0.000
0.000 0.000 4.931
Mg Hf V
6 1 1
Direct
0.836 0.681 0.500
0.665 0.824 0.000
0.833 0.167 0.500
0.671 0.329 0.000
0.176 0.335 0.000
0.319 0.164 0.500
0.316 0.684 0.500
0.183 0.817 0.000
```

***

Entry x
Material: HfMg6V
Method: DFT, PBE-GGA
State: relaxed

Calculated values
DOS at the Fermi energy   5.56 states/eV/cell
M_tot   0.44 μB/atom
Symmetry   Amm2, No. 38

```
HfMg6V
1.0
-1.057 5.056 3.682
-0.463 0.201 -6.323
-4.888 -1.254 0.318
Mg Hf V
6 1 1
Direct
0.681 0.319 0.000
0.163 0.333 0.000
0.667 0.837 0.000
0.173 0.827 0.000
0.326 0.170 0.500
0.830 0.674 0.500
0.328 0.672 0.500
0.832 0.168 0.500
```

***

Which structure is most stable, and how do the rest compare? From most to least stable: entry w, entry x.

***

Entry w
Material: HfMgV3
Method: DFT, PBE-GGA
State: relaxed

Calculated values
DOS at the Fermi energy   9.54 states/eV/cell
M_tot   1.03 μB/atom
Symmetry   Pm-3m, No. 221

```
HfMgV3
1.0
4.577 0.000 0.000
0.000 4.577 0.000
0.000 0.000 4.577
V Hf Mg
3 1 1
Direct
0.000 0.500 0.000
0.000 0.000 0.500
0.500 0.000 0.000
0.500 0.500 0.500
0.000 0.000 0.000
```

***

Entry x
Material: HfMgV3
Method: DFT, PBE-GGA
State: relaxed

Calculated values
DOS at the Fermi energy   6.42 states/eV/cell
M_tot   0.51 μB/atom
Symmetry   Pm-3m, No. 221

```
HfMgV3
1.0
4.722 0.000 0.000
0.000 4.722 0.000
0.000 0.000 4.722
Mg Hf V
1 1 3
Direct
0.500 0.500 0.500
0.000 0.000 0.000
0.500 0.000 0.000
0.000 0.500 0.000
0.000 0.000 0.500
```

***

Which structure is most stable, and how do the rest compare? From most to least stable: entry x, entry w.